## RePbSe2 (GGA-PBE)

Data for a geometry-optimized RePbSe2 structure.

Cell: 5.771 3.332 9.521 Å, 90.00 102.01 90.00°
Space group C2/m (No. 12)
Asymmetric unit:
1 Re 0.000 0.000 0.000 (multiplicity 2)
2 Pb 0.000 0.500 0.500 (multiplicity 2)
3 Se 0.229 0.500 0.182 (multiplicity 4)

Summary:
DOS at the Fermi energy (states/eV per cell): 5.2
Uncorrected formation energy (eV/atom): 0.030